VASP calculation (PBE+U) on a relaxed structure of K3Mn3WO8.

Cell: 6.4562 6.4562 7.2472 Å, 116.44 116.44 60.00°
Atoms (fractional coordinates):
1 K 0.0000 0.0000 0.0000
2 K 0.0000 0.5000 0.0000
3 K 0.5000 0.0000 0.0000
4 Mn 0.0000 0.5000 0.5000
5 Mn 0.5000 0.0000 0.5000
6 Mn 0.5000 0.5000 0.5000
7 W 0.0000 0.0000 0.5000
8 O 0.2054 0.2054 0.6767
9 O 0.2052 0.7658 0.6767
10 O 0.2342 0.7948 0.3233
11 O 0.2825 0.2825 0.3490
12 O 0.7175 0.7175 0.6510
13 O 0.7658 0.2052 0.6767
14 O 0.7948 0.2342 0.3233
15 O 0.7946 0.7946 0.3233

Results
The total energy comes out at -6.58 eV per atom. The total moment comes out at 14.00 μB per cell. As for the crystal system: monoclinic. The calculation puts the volume at 14.958 A^3/atom. The density of states at the Fermi level comes out at 0.26 states/eV per atom.